Below is a relaxed structure of Hf7Sb2Pb2, with properties calculated at the PBE level.

The space group is Cmmm (No. 65) and the conventional cell measures 8.988, 10.198 and 6.225 Å, with angles of 90.00, 90.00 and 90.00 degrees. The inequivalent atoms are Hf at (0.000, 0.000, 0.000), Hf at (0.000, 0.500, 0.265), Hf at (0.250, 0.250, 0.263), Sb at (0.000, 0.274, 0.000) and Pb at (0.183, 0.000, 0.500).

As for the mass density: 11.1 Mg/m³. The value obtained for the uncorrected formation energy is 273 meV/atom. The calculation puts the total magnetization at 0.000 μB per atom. As for the crystal system: orthorhombic.